A geometry-optimized BaZn2Pt structure. Source: the Alexandria database, functional PBE.

a b c (Å): 7.1322 7.1322 7.1322
angles (deg): 90.00 90.00 90.00
Last column: nearest neighbours and their distance in Å.
Space group Fm-3m (No. 225)
Unique sites:
Ba  0.0000  0.0000  0.0000  8 Zn 3.09
Zn  0.2500  0.2500  0.2500  4 Ba 3.09, 4 Pt 3.09
Pt  0.0000  0.0000  0.5000  8 Zn 3.09

The calculation puts the raw total energy at -2.761 eV/atom. As for the crystal system: cubic.

A geometry-optimized Ba3Zn2Pt3 structure. Source: the Alexandria database, functional PBE.

a b c (Å): 4.5413 11.9578 16.4948
angles (deg): 90.00 90.00 90.00
Last column: nearest neighbours and their distance in Å.
Space group Cmcm (No. 63)
Unique sites:
Ba  0.0000  0.0738  0.2500  4 Pt 3.23-3.25, 4 Zn 3.36
Ba  0.0000  0.3652  0.0951  4 Zn 3.39-3.49, 7 Pt 3.39-3.61
Zn  0.0000  0.3436  0.6122  3 Pt 2.60-2.63
Pt  0.0000  0.0869  0.0542  2 Zn 2.60, 1 Pt 2.74
Pt  0.0000  0.2322  0.7500  2 Zn 2.63

The calculation puts the raw total energy at -3.949 eV/atom. As for the crystal system: orthorhombic.

A geometry-optimized Ba2Zn5Pt structure. Source: the Alexandria database, functional PBE.

a b c (Å): 4.8042 16.9682 9.3664
angles (deg): 90.00 90.00 90.00
Last column: nearest neighbours and their distance in Å.
Space group Cmcm (No. 63)
Unique sites:
Ba  0.0000  0.0000  0.0000  10 Zn 3.36-3.67, 4 Pt 3.54
Ba  0.0000  0.2010  0.2500  13 Zn 3.32-3.58, 2 Pt 3.32
Zn  0.0000  0.1880  0.6112  4 Zn 2.60-2.84
Zn  0.0000  0.3466  0.5137  1 Pt 2.66, 4 Zn 2.71-2.84
Zn  0.0000  0.4121  0.2500  1 Pt 2.61, 2 Zn 2.71
Pt  0.0000  0.4339  0.7500  3 Zn 2.61-2.66

The calculation puts the raw total energy at -2.344 eV/atom. As for the crystal system: orthorhombic.

A geometry-optimized Ba3ZnPt2 structure. Source: the Alexandria database, functional PBE.

a b c (Å): 12.7479 4.5838 13.2924
angles (deg): 90.00 90.00 90.00
Last column: nearest neighbours and their distance in Å.
Space group Pnma (No. 62)
Unique sites:
Ba  0.0656  0.2500  0.1170  5 Pt 3.39-3.57, 1 Zn 3.41
Ba  0.1232  0.7500  0.5550  5 Pt 3.25-3.54, 3 Zn 3.40
Ba  0.1911  0.2500  0.8051  4 Pt 3.21-3.45, 2 Zn 3.33
Zn  0.1302  0.2500  0.3659  3 Pt 2.60-2.68
Pt  0.0449  0.7500  0.3224  2 Zn 2.60
Pt  0.1931  0.7500  0.9745  1 Zn 2.68

The calculation puts the raw total energy at -3.816 eV/atom. As for the crystal system: orthorhombic.

A geometry-optimized BaZnPt2 structure. Source: the Alexandria database, functional PBE.

a b c (Å): 11.4148 4.7415 8.0415
angles (deg): 90.00 126.14 90.00
Last column: nearest neighbours and their distance in Å.
Space group Cm (No. 8)
Unique sites:
Ba  0.0000  0.0000  0.0000  4 Pt 3.08-3.43, 3 Zn 3.18-3.38
Ba  0.1610  0.5000  0.4273  4 Pt 3.06-3.26
Zn  0.0818  0.5000  0.7836  5 Pt 2.60-2.70
Zn  0.2703  0.0000  0.9812  5 Pt 2.59-2.73
Pt  0.0345  0.0000  0.5941  3 Zn 2.66-2.70, 4 Pt 2.83-2.89
Pt  0.3004  0.5000  0.1712  3 Zn 2.60-2.73, 3 Pt 2.74-2.83
Pt  0.3269  0.0000  0.7136  2 Zn 2.59-2.62, 1 Pt 2.88
Pt  0.3669  0.0000  0.3806  2 Zn 2.67-2.71, 5 Pt 2.74-2.97

The calculation puts the raw total energy at -4.399 eV/atom. As for the crystal system: monoclinic.

A geometry-optimized Ba2Zn7Pt structure. Source: the Alexandria database, functional PBE.

a b c (Å): 4.4833 4.4833 11.1036
angles (deg): 90.00 90.00 90.00
Last column: nearest neighbours and their distance in Å.
Space group P-4m2 (No. 115)
Unique sites:
Ba  0.0000  0.5000  0.2450  14 Zn 3.46-3.61, 2 Pt 3.52
Zn  0.0000  0.0000  0.0000  4 Zn 2.61
Zn  0.0000  0.0000  0.5000  4 Zn 2.64
Zn  0.0000  0.5000  0.6262  5 Zn 2.64-2.81
Zn  0.0000  0.5000  0.8790  2 Pt 2.61, 3 Zn 2.61-2.81
Zn  0.5000  0.5000  0.5000  4 Zn 2.64
Pt  0.5000  0.5000  0.0000  4 Zn 2.61

The calculation puts the raw total energy at -2.154 eV/atom. As for the crystal system: tetragonal.

A geometry-optimized Ba2ZnPt3 structure. Source: the Alexandria database, functional PBE.

a b c (Å): 4.4502 5.9233 12.2086
angles (deg): 90.00 90.00 90.00
Last column: nearest neighbours and their distance in Å.
Space group Immm (No. 71)
Unique sites:
Ba  0.0000  0.0000  0.1791  6 Pt 3.08-3.39
Zn  0.0000  0.0000  0.5000  4 Pt 2.61
Pt  0.0000  0.5000  0.1113  2 Zn 2.61, 1 Pt 2.72
Pt  0.0000  0.5000  0.5000  2 Zn 2.96, 4 Ba 3.12

The calculation puts the raw total energy at -4.234 eV/atom. The excess energy over the best structure of this formula in the dataset is 311 meV/atom. As for the crystal system: orthorhombic.

A geometry-optimized BaZnPt2 structure. Source: the Alexandria database, functional PBE.

a b c (Å): 5.1223 5.1223 17.0274
angles (deg): 90.00 90.00 90.00
Last column: nearest neighbours and their distance in Å.
Space group I-42d (No. 122)
Unique sites:
Ba  0.0000  0.0000  0.0000  8 Pt 3.43-3.71, 4 Zn 3.62
Zn  0.0000  0.0000  0.5000  4 Pt 2.49
Pt  0.0389  0.2500  0.6250  2 Zn 2.49, 2 Pt 2.59

The calculation puts the raw total energy at -4.365 eV/atom. As for the crystal system: tetragonal.